Computed, not measured: crystalline Pm12Dy6Tl at its relaxed geometry at the GGA-PBE level of DFT.

Results
**Space group**: No. 148
**N(E_F)**: 1.57 states/eV/atom

abc: 8.6025 8.6025 8.6025
angles: 88.64 88.64 88.64
Last column: nearest neighbours and their distance in Å.
Fractional coordinates of all 19 atoms:
Pm  0.7836  0.5380  0.4314  3 Dy 3.34-3.55, 4 Pm 3.37-3.66
Pm  0.4314  0.7836  0.5380  3 Dy 3.34-3.55, 4 Pm 3.37-3.66
Pm  0.5380  0.4314  0.7836  3 Dy 3.34-3.55, 4 Pm 3.37-3.66
Pm  0.2164  0.4620  0.5686  3 Dy 3.34-3.55, 4 Pm 3.37-3.66
Pm  0.5686  0.2164  0.4620  3 Dy 3.34-3.55, 4 Pm 3.37-3.66
Pm  0.4620  0.5686  0.2164  3 Dy 3.34-3.55, 4 Pm 3.37-3.66
Pm  0.0152  0.1823  0.3633  4 Dy 3.48-3.72, 5 Pm 3.53-3.88, 1 Tl 3.54
Pm  0.8177  0.6367  0.9848  4 Dy 3.48-3.72, 5 Pm 3.53-3.88, 1 Tl 3.54
Pm  0.6367  0.9848  0.8177  4 Dy 3.48-3.72, 5 Pm 3.53-3.88, 1 Tl 3.54
Pm  0.9848  0.8177  0.6367  4 Dy 3.48-3.72, 5 Pm 3.53-3.88, 1 Tl 3.54
Pm  0.1823  0.3633  0.0152  4 Dy 3.48-3.72, 5 Pm 3.53-3.88, 1 Tl 3.54
Pm  0.3633  0.0152  0.1823  4 Dy 3.48-3.72, 5 Pm 3.53-3.88, 1 Tl 3.54
Dy  0.7437  0.9010  0.2893  7 Pm 3.34-3.72, 1 Tl 3.39, 2 Dy 3.44
Dy  0.7107  0.2563  0.0990  7 Pm 3.34-3.72, 1 Tl 3.39, 2 Dy 3.44
Dy  0.0990  0.7107  0.2563  7 Pm 3.34-3.72, 1 Tl 3.39, 2 Dy 3.44
Dy  0.2563  0.0990  0.7107  7 Pm 3.34-3.72, 1 Tl 3.39, 2 Dy 3.44
Dy  0.2893  0.7437  0.9010  7 Pm 3.34-3.72, 1 Tl 3.39, 2 Dy 3.44
Dy  0.9010  0.2893  0.7437  7 Pm 3.34-3.72, 1 Tl 3.39, 2 Dy 3.44
Tl  0.0000  0.0000  0.0000  6 Dy 3.39, 6 Pm 3.54



Computed, not measured: crystalline Pm5DyTl3 at its relaxed geometry at the GGA-PBE level of DFT.

Results
**Space group**: No. 193
**N(E_F)**: 1.30 states/eV/atom

abc: 6.8727 9.5674 9.5692
angles: 119.99 90.00 90.00
Last column: nearest neighbours and their distance in Å.
Fractional coordinates of all 18 atoms:
Pm  0.0000  0.6666  0.3332  8 Pm 3.44-3.61, 6 Tl 3.65
Pm  0.5000  0.3334  0.6669  8 Pm 3.44-3.61, 6 Tl 3.65
Pm  0.0000  0.3334  0.6669  8 Pm 3.44-3.61, 6 Tl 3.65
Pm  0.5000  0.6666  0.3332  8 Pm 3.44-3.61, 6 Tl 3.65
Pm  0.7500  0.6627  0.6627  5 Tl 3.18-3.44
Pm  0.7500  0.0000  0.3373  5 Tl 3.18-3.44
Pm  0.7500  0.3373  0.0000  5 Tl 3.18-3.44
Pm  0.2500  0.3373  0.3373  5 Tl 3.18-3.44
Pm  0.2500  0.0000  0.6627  5 Tl 3.18-3.44
Pm  0.2500  0.6627  0.0000  5 Tl 3.18-3.44
Dy  0.0000  0.0000  0.0000  2 Dy 3.44, 6 Tl 3.57, 6 Pm 3.66
Dy  0.5000  0.0000  0.0000  2 Dy 3.44, 6 Tl 3.57, 6 Pm 3.66
Tl  0.7500  0.3271  0.3270  5 Pm 3.18-3.44
Tl  0.7500  0.0001  0.6730  5 Pm 3.18-3.44
Tl  0.7500  0.6729  0.0000  5 Pm 3.18-3.44
Tl  0.2500  0.6729  0.6730  5 Pm 3.18-3.44
Tl  0.2500  0.9999  0.3270  5 Pm 3.18-3.44
Tl  0.2500  0.3271  0.0000  5 Pm 3.18-3.44



Computed, not measured: crystalline Pm4DyTl at its relaxed geometry at the GGA-PBE level of DFT.

Results
**Distance to the lowest polymorph of the same formula**: 0 meV per atom
**Space group**: No. 123
**N(E_F)**: 1.35 states/eV/atom

abc: 3.6579 3.6579 14.5344
angles: 90.00 90.00 90.00
Last column: nearest neighbours and their distance in Å.
Fractional coordinates of all 6 atoms:
Pm  0.5000  0.5000  0.1735  4 Dy 3.61, 8 Pm 3.66
Pm  0.0000  0.0000  0.6488  4 Tl 3.37, 8 Pm 3.66
Pm  0.0000  0.0000  0.3512  4 Tl 3.37, 8 Pm 3.66
Pm  0.5000  0.5000  0.8265  4 Dy 3.61, 8 Pm 3.66
Dy  0.0000  0.0000  0.0000  8 Pm 3.61, 4 Dy 3.66
Tl  0.5000  0.5000  0.5000  8 Pm 3.37, 4 Tl 3.66



Computed, not measured: crystalline Pm3Dy2Tl6 at its relaxed geometry at the GGA-PBE level of DFT.

Results
**Space group**: No. 139
**N(E_F)**: 0.84 states/eV/atom

abc: 4.8230 4.8230 15.0386
angles: 99.23 99.23 90.00
Last column: nearest neighbours and their distance in Å.
Fractional coordinates of all 11 atoms:
Pm  0.0000  0.0000  0.0000  8 Dy 3.76, 8 Tl 4.21
Pm  0.8010  0.8010  0.6021  9 Tl 3.13-3.41
Pm  0.1990  0.1990  0.3979  9 Tl 3.13-3.41
Dy  0.4461  0.4461  0.8922  4 Tl 3.05, 1 Dy 3.16
Dy  0.5539  0.5539  0.1078  4 Tl 3.05, 1 Dy 3.16
Tl  0.1176  0.6176  0.2353  2 Dy 3.05, 6 Tl 3.29-3.41, 2 Pm 3.39
Tl  0.6176  0.1176  0.2353  2 Dy 3.05, 6 Tl 3.29-3.41, 2 Pm 3.39
Tl  0.8824  0.3824  0.7647  2 Dy 3.05, 6 Tl 3.29-3.41, 2 Pm 3.39
Tl  0.3824  0.8824  0.7647  2 Dy 3.05, 6 Tl 3.29-3.41, 2 Pm 3.39
Tl  0.6941  0.6941  0.3882  5 Pm 3.13-3.41, 4 Tl 3.29
Tl  0.3059  0.3059  0.6118  5 Pm 3.13-3.41, 4 Tl 3.29



Computed, not measured: crystalline Pm6Dy3Tl at its relaxed geometry at the GGA-PBE level of DFT.

Results
**Distance to the lowest polymorph of the same formula**: 7 meV per atom
**Space group**: No. 11
**N(E_F)**: 1.38 states/eV/atom

abc: 3.6167 12.3767 14.8505
angles: 93.87 90.00 90.00
Last column: nearest neighbours and their distance in Å.
Fractional coordinates of all 20 atoms:
Pm  0.2500  0.3804  0.5463  4 Dy 3.46-3.54, 8 Pm 3.62-3.80
Pm  0.7500  0.6196  0.4537  4 Dy 3.46-3.54, 8 Pm 3.62-3.80
Pm  0.2500  0.8874  0.9971  2 Tl 3.23, 6 Pm 3.32-3.62, 2 Dy 3.51
Pm  0.7500  0.1126  0.0029  2 Tl 3.23, 6 Pm 3.32-3.62, 2 Dy 3.51
Pm  0.2500  0.8097  0.6073  6 Pm 3.55-3.65, 5 Dy 3.58-3.67
Pm  0.7500  0.1903  0.3927  6 Pm 3.55-3.65, 5 Dy 3.58-3.67
Pm  0.2500  0.6992  0.2509  2 Tl 3.38, 3 Dy 3.59-3.71, 4 Pm 3.62-3.70
Pm  0.7500  0.3008  0.7491  2 Tl 3.38, 3 Dy 3.59-3.71, 4 Pm 3.62-3.70
Pm  0.2500  0.5636  0.8906  3 Tl 3.26-3.37, 2 Dy 3.61, 4 Pm 3.62-3.65
Pm  0.7500  0.4364  0.1094  3 Tl 3.26-3.37, 2 Dy 3.61, 4 Pm 3.62-3.65
Pm  0.2500  0.2048  0.1881  1 Dy 3.25, 6 Pm 3.42-3.62
Pm  0.7500  0.7952  0.8119  1 Dy 3.25, 6 Pm 3.42-3.62
Dy  0.2500  0.1003  0.5819  3 Dy 3.38-3.62, 4 Pm 3.54-3.64
Dy  0.7500  0.8997  0.4181  3 Dy 3.38-3.62, 4 Pm 3.54-3.64
Dy  0.2500  0.4263  0.3189  7 Pm 3.25-3.61, 2 Dy 3.62
Dy  0.7500  0.5737  0.6811  7 Pm 3.25-3.61, 2 Dy 3.62
Dy  0.2500  0.0520  0.8033  3 Dy 3.38-3.62, 7 Pm 3.51-3.71, 1 Tl 3.69
Dy  0.7500  0.9480  0.1967  3 Dy 3.38-3.62, 7 Pm 3.51-3.71, 1 Tl 3.69
Tl  0.2500  0.3114  0.9414  7 Pm 3.23-3.38, 2 Tl 3.62
Tl  0.7500  0.6886  0.0586  7 Pm 3.23-3.38, 2 Tl 3.62



Computed, not measured: crystalline PmDy2TmTl2 at its relaxed geometry at the GGA-PBE level of DFT.

Results
**Space group**: No. 26
**N(E_F)**: 1.01 states/eV/atom

abc: 5.1090 6.8615 9.9864
angles: 90.00 90.00 90.00
Last column: nearest neighbours and their distance in Å.
Fractional coordinates of all 12 atoms:
Pm  0.0000  0.9588  0.4556  5 Tl 3.25-3.51, 2 Tm 3.53, 2 Pm 3.54
Pm  0.0000  0.4588  0.5444  5 Tl 3.25-3.51, 2 Tm 3.53, 2 Pm 3.54
Dy  0.5000  0.0521  0.0460  5 Tl 3.22-3.55, 4 Dy 3.50-3.55
Dy  0.0000  0.3387  0.1831  4 Tl 3.18-3.24, 2 Dy 3.50
Dy  0.5000  0.5521  0.9540  5 Tl 3.22-3.55, 4 Dy 3.50-3.55
Dy  0.0000  0.8387  0.8169  4 Tl 3.18-3.24, 2 Dy 3.50
Tm  0.5000  0.1764  0.6919  4 Tl 3.17-3.27, 2 Pm 3.53
Tm  0.5000  0.6764  0.3081  4 Tl 3.17-3.27, 2 Pm 3.53
Tl  0.0000  0.2974  0.8655  6 Dy 3.18-3.55, 2 Tm 3.20, 1 Pm 3.39
Tl  0.5000  0.2221  0.3664  2 Tm 3.17-3.27, 3 Dy 3.24-3.41, 4 Pm 3.25-3.51
Tl  0.0000  0.7974  0.1345  6 Dy 3.18-3.55, 2 Tm 3.20, 1 Pm 3.39
Tl  0.5000  0.7221  0.6336  2 Tm 3.17-3.27, 3 Dy 3.24-3.41, 4 Pm 3.25-3.51



Computed, not measured: crystalline Pm2DyTmTl2 at its relaxed geometry at the GGA-PBE level of DFT.

Results
**Space group**: No. 26
**N(E_F)**: 1.04 states/eV/atom

abc: 5.1222 6.8618 10.1283
angles: 90.00 90.00 90.00
Last column: nearest neighbours and their distance in Å.
Fractional coordinates of all 12 atoms:
Pm  0.5000  0.0565  0.0434  5 Tl 3.27-3.60, 4 Pm 3.50-3.54
Pm  0.0000  0.3308  0.1872  4 Tl 3.24-3.36, 2 Pm 3.50
Pm  0.5000  0.5565  0.9566  5 Tl 3.27-3.60, 4 Pm 3.50-3.54
Pm  0.0000  0.8308  0.8128  4 Tl 3.24-3.36, 2 Pm 3.50
Dy  0.0000  0.9614  0.4582  5 Tl 3.22-3.49, 2 Tm 3.53, 2 Dy 3.53
Dy  0.0000  0.4614  0.5418  5 Tl 3.22-3.49, 2 Tm 3.53, 2 Dy 3.53
Tm  0.5000  0.1784  0.6851  4 Tl 3.15-3.21, 2 Dy 3.53
Tm  0.5000  0.6784  0.3149  4 Tl 3.15-3.21, 2 Dy 3.53
Tl  0.0000  0.2994  0.8557  2 Tm 3.20, 4 Pm 3.24-3.36, 1 Dy 3.37
Tl  0.5000  0.2192  0.3753  2 Tm 3.15-3.21, 4 Dy 3.22-3.49, 2 Pm 3.28
Tl  0.0000  0.7994  0.1443  2 Tm 3.20, 4 Pm 3.24-3.36, 1 Dy 3.37
Tl  0.5000  0.7192  0.6247  2 Tm 3.15-3.21, 4 Dy 3.22-3.49, 2 Pm 3.28



Computed, not measured: crystalline Pm6Dy3Tm2Tl at its relaxed geometry at the GGA-PBE level of DFT.

Results
**Space group**: No. 12
**N(E_F)**: 1.17 states/eV/atom

abc: 6.1927 6.1927 11.7318
angles: 95.11 95.11 120.13
Last column: nearest neighbours and their distance in Å.
Fractional coordinates of all 12 atoms:
Pm  0.9184  0.5895  0.7533  1 Tl 3.50, 6 Pm 3.52-3.60, 2 Tm 3.53, 3 Dy 3.57-3.59
Pm  0.7532  0.7532  0.2485  1 Tl 3.52, 6 Pm 3.52-3.60, 2 Tm 3.54, 3 Dy 3.56-3.58
Pm  0.0816  0.4105  0.2467  1 Tl 3.50, 6 Pm 3.52-3.60, 2 Tm 3.53, 3 Dy 3.57-3.59
Pm  0.5895  0.9184  0.7533  1 Tl 3.50, 6 Pm 3.52-3.60, 2 Tm 3.53, 3 Dy 3.57-3.59
Pm  0.2468  0.2468  0.7515  1 Tl 3.52, 6 Pm 3.52-3.60, 2 Tm 3.54, 3 Dy 3.56-3.58
Pm  0.4105  0.0816  0.2467  1 Tl 3.50, 6 Pm 3.52-3.60, 2 Tm 3.53, 3 Dy 3.57-3.59
Dy  0.1677  0.8323  0.5000  6 Pm 3.56-3.59, 6 Dy 3.56-3.60
Dy  0.8323  0.1677  0.5000  6 Pm 3.56-3.59, 6 Dy 3.56-3.60
Dy  0.5000  0.5000  0.5000  6 Dy 3.57-3.58, 6 Pm 3.57-3.58
Tm  0.3339  0.6661  0.0000  6 Pm 3.53-3.54, 3 Tm 3.56-3.58, 3 Tl 3.57-3.58
Tm  0.6661  0.3339  0.0000  6 Pm 3.53-3.54, 3 Tm 3.56-3.58, 3 Tl 3.57-3.58
Tl  0.0000  0.0000  0.0000  6 Pm 3.50-3.52, 6 Tm 3.57-3.58



Computed, not measured: crystalline PmDyTm2Tl2 at its relaxed geometry at the GGA-PBE level of DFT.

Results
**Space group**: No. 26
**N(E_F)**: 0.97 states/eV/atom

abc: 5.1012 6.7842 9.9880
angles: 90.00 90.00 90.00
Last column: nearest neighbours and their distance in Å.
Fractional coordinates of all 12 atoms:
Pm  0.0000  0.9596  0.4590  5 Tl 3.25-3.53, 2 Pm 3.49, 2 Dy 3.51
Pm  0.0000  0.4596  0.5410  5 Tl 3.25-3.53, 2 Pm 3.49, 2 Dy 3.51
Dy  0.5000  0.1818  0.6919  4 Tl 3.18-3.33, 2 Pm 3.51
Dy  0.5000  0.6818  0.3081  4 Tl 3.18-3.33, 2 Pm 3.51
Tm  0.5000  0.0515  0.0421  5 Tl 3.20-3.50, 4 Tm 3.49
Tm  0.0000  0.3362  0.1822  4 Tl 3.14-3.21, 2 Tm 3.49
Tm  0.5000  0.5515  0.9579  5 Tl 3.20-3.50, 4 Tm 3.49
Tm  0.0000  0.8362  0.8178  4 Tl 3.14-3.21, 2 Tm 3.49
Tl  0.0000  0.2980  0.8694  6 Tm 3.14-3.50, 2 Dy 3.20, 1 Pm 3.46
Tl  0.5000  0.2185  0.3594  2 Dy 3.18-3.33, 3 Tm 3.21-3.36, 4 Pm 3.25-3.53
Tl  0.0000  0.7980  0.1306  6 Tm 3.14-3.50, 2 Dy 3.20, 1 Pm 3.46
Tl  0.5000  0.7185  0.6406  2 Dy 3.18-3.33, 3 Tm 3.21-3.36, 4 Pm 3.25-3.53



Computed, not measured: crystalline Pm3Dy6Tm2Tl at its relaxed geometry at the GGA-PBE level of DFT.

Results
**Space group**: No. 12
**N(E_F)**: 1.37 states/eV/atom

abc: 6.1460 6.1460 11.6139
angles: 95.10 95.10 120.04
Last column: nearest neighbours and their distance in Å.
Fractional coordinates of all 12 atoms:
Pm  0.1670  0.8330  0.5000  6 Pm 3.54-3.56, 6 Dy 3.56-3.59
Pm  0.8330  0.1670  0.5000  6 Pm 3.54-3.56, 6 Dy 3.56-3.59
Pm  0.5000  0.5000  0.5000  6 Pm 3.55, 6 Dy 3.57-3.58
Dy  0.9199  0.5910  0.7569  1 Tl 3.43, 2 Tm 3.46-3.47, 6 Dy 3.50-3.57, 3 Pm 3.57-3.59
Dy  0.7513  0.7513  0.2446  1 Tl 3.46, 2 Tm 3.47, 6 Dy 3.50-3.57, 3 Pm 3.56-3.58
Dy  0.0801  0.4090  0.2431  1 Tl 3.43, 2 Tm 3.46-3.47, 6 Dy 3.50-3.57, 3 Pm 3.57-3.59
Dy  0.5910  0.9199  0.7569  1 Tl 3.43, 2 Tm 3.46-3.47, 6 Dy 3.50-3.57, 3 Pm 3.57-3.59
Dy  0.2487  0.2487  0.7554  1 Tl 3.46, 2 Tm 3.47, 6 Dy 3.50-3.57, 3 Pm 3.56-3.58
Dy  0.4090  0.0801  0.2431  1 Tl 3.43, 2 Tm 3.46-3.47, 6 Dy 3.50-3.57, 3 Pm 3.57-3.59
Tm  0.3341  0.6659  0.0000  6 Dy 3.46-3.47, 3 Tm 3.53-3.55, 3 Tl 3.54-3.56
Tm  0.6659  0.3341  0.0000  6 Dy 3.46-3.47, 3 Tm 3.53-3.55, 3 Tl 3.54-3.56
Tl  0.0000  0.0000  0.0000  6 Dy 3.43-3.46, 6 Tm 3.54-3.56



Computed, not measured: crystalline PmDyY2Tl2 at its relaxed geometry at the GGA-PBE level of DFT.

Results
**Space group**: No. 26
**N(E_F)**: 1.08 states/eV/atom

abc: 5.1305 6.8690 10.0526
angles: 90.00 90.00 90.00
Last column: nearest neighbours and their distance in Å.
Fractional coordinates of all 12 atoms:
Pm  0.0000  0.9588  0.4558  5 Tl 3.26-3.54, 2 Dy 3.52, 2 Pm 3.55
Pm  0.0000  0.4588  0.5442  5 Tl 3.26-3.54, 2 Dy 3.52, 2 Pm 3.55
Dy  0.5000  0.1797  0.6903  4 Tl 3.21-3.29, 2 Pm 3.52
Dy  0.5000  0.6797  0.3097  4 Tl 3.21-3.29, 2 Pm 3.52
Y  0.5000  0.0527  0.0452  5 Tl 3.23-3.54, 4 Y 3.51-3.55
Y  0.0000  0.3374  0.1839  4 Tl 3.19-3.24, 2 Y 3.51
Y  0.5000  0.5527  0.9548  5 Tl 3.23-3.54, 4 Y 3.51-3.55
Y  0.0000  0.8374  0.8161  4 Tl 3.19-3.24, 2 Y 3.51
Tl  0.0000  0.2969  0.8681  6 Y 3.19-3.54, 2 Dy 3.23, 1 Pm 3.44
Tl  0.5000  0.2200  0.3643  2 Dy 3.21-3.29, 3 Y 3.24-3.41, 4 Pm 3.26-3.54
Tl  0.0000  0.7969  0.1319  6 Y 3.19-3.54, 2 Dy 3.23, 1 Pm 3.44
Tl  0.5000  0.7200  0.6357  2 Dy 3.21-3.29, 3 Y 3.24-3.41, 4 Pm 3.26-3.54



Computed, not measured: crystalline PmDyYTl at its relaxed geometry at the GGA-PBE level of DFT.

Results
**Distance to the lowest polymorph of the same formula**: 0 meV per atom
**Space group**: No. 47
**N(E_F)**: 1.29 states/eV/atom

abc: 4.8543 4.9483 4.8892
angles: 90.00 90.00 90.00
Last column: nearest neighbours and their distance in Å.
Fractional coordinates of all 4 atoms:
Pm  0.0000  0.5000  0.5000  4 Dy 3.44, 4 Y 3.47, 4 Tl 3.48
Dy  0.5000  0.5000  0.0000  4 Pm 3.44, 4 Tl 3.47, 4 Y 3.48
Y  0.5000  0.0000  0.5000  4 Tl 3.44, 4 Pm 3.47, 4 Dy 3.48
Tl  0.0000  0.0000  0.0000  4 Y 3.44, 4 Dy 3.47, 4 Pm 3.48



Energy of formation values, unit eV per atom, following the record order: 0.08; -0.27; -0.10; -0.10; 0.02; -0.27; -0.27; -0.01; -0.26; -0.01; -0.29; -0.19.